Entry 1:
Computed, not measured: LaRe3Te at its PBEsol-relaxed geometry at the SCAN level of DFT.

Cell: 4.8139 4.8139 4.8139 Å, 90.00 90.00 90.00°
With the nearest neighbours (Å) after each atom.
Space group Pm-3m (No. 221)
Symmetry-distinct sites (fractional):
La  0.0000  0.0000  0.0000 x1  6 Re 2.41
Re  0.0000  0.0000  0.5000 x3  2 La 2.41
Te  0.5000  0.5000  0.5000 x1  12 Re 3.40

Calculated values
Its raw formation energy is 3.161 eV/atom. The crystal system is cubic.

Entry 2:
Computed, not measured: LaReTe2 at its PBEsol-relaxed geometry at the SCAN level of DFT.

Cell: 7.2517 7.2517 7.2517 Å, 90.00 90.00 90.00°
With the nearest neighbours (Å) after each atom.
Space group F-43m (No. 216)
Symmetry-distinct sites (fractional):
La  0.0000  0.0000  0.0000 x4  4 Te 3.14, 4 Re 3.14
Re  0.2500  0.2500  0.2500 x4  4 La 3.14, 4 Te 3.14
Te  0.0000  0.0000  0.5000 x4  4 Re 3.14, 4 Te 3.14
Te  0.2500  0.2500  0.7500 x4  4 Te 3.14, 4 La 3.14

Calculated values
As for the excess energy over the best structure of this formula in the dataset: 277.5 kJ/mol of formula units. Its raw formation energy is 0.512 eV/atom. The crystal system is cubic.

Entry 3:
Computed, not measured: LaTl2Re at its PBEsol-relaxed geometry at the SCAN level of DFT.

Cell: 4.3593 4.3593 4.9007 Å, 90.00 90.00 90.00°
With the nearest neighbours (Å) after each atom.
Space group P4/mmm (No. 123)
Symmetry-distinct sites (fractional):
La  0.0000  0.0000  0.0000 x1  4 Re 3.08, 8 Tl 3.28
Tl  0.0000  0.5000  0.5000 x2  4 Tl 3.08, 4 Re 3.28, 4 La 3.28
Re  0.5000  0.5000  0.0000 x1  4 La 3.08, 8 Tl 3.28

Calculated values
As for the excess energy over the best structure of this formula in the dataset: 50.1 kJ/mol of formula units. The crystal system is tetragonal. The energy of formation comes out at 0.523 eV/atom.